Entry 1:
Ba2Sb2Ir | GGA-PBE | relaxed

Energy above the most stable polymorph in this dataset, eV/f.u.: 2.87
ΔE_f (raw), eV per atom: 0.063

Lattice parameters (Å, degrees): 8.5734 8.5734 5.2798 90.00 90.00 90.00
Space group P4/mbm (No. 127)
One atom of each set of equivalent atoms:
Ba1 0.1854 0.3146 0.0000 [4 per cell]
Sb1 0.1126 0.6126 0.5000 [4 per cell]
Ir1 0.0000 0.0000 0.0000 [2 per cell]

***

Entry 2:
DyZrTcPd | GGA-PBE | relaxed

Formation energy, kcal/mol of atoms: -10.39

Lattice parameters (Å, degrees): 6.7638 6.7638 6.7638 90.00 90.00 90.00
Space group F-43m (No. 216)
One atom of each set of equivalent atoms:
Dy1 0.0000 0.0000 0.0000 [4 per cell]
Zr1 0.0000 0.0000 0.5000 [4 per cell]
Tc1 0.2500 0.2500 0.2500 [4 per cell]
Pd1 0.2500 0.2500 0.7500 [4 per cell]

***

Entry 3:
Dy4In2Ru | GGA-PBE | relaxed

Formation energy, kcal/mol of atoms: -6.18

Lattice parameters (Å, degrees): 6.5415 3.5011 9.1508 90.00 109.70 90.00
Space group P2/m (No. 10)
One atom of each set of equivalent atoms:
Dy1 0.1187 0.0000 0.2531 [2 per cell]
Dy2 0.3331 0.5000 0.6497 [2 per cell]
In1 0.2704 0.5000 0.0014 [2 per cell]
Ru1 0.0000 0.0000 0.5000 [1 per cell]

***

Entry 4:
FeCo | GGA-PBE | relaxed

Formation energy, kcal/mol of atoms: -0.06

Lattice parameters (Å, degrees): 2.4658 4.0032 6.9257 90.00 90.14 90.00
Space group Pm (No. 6)
One atom of each set of equivalent atoms:
Fe1 0.0000 0.0000 0.0000 [1 per cell]
Fe2 0.0021 0.5000 0.4949 [1 per cell]
Fe3 0.6580 0.5000 0.8295 [1 per cell]
Co1 0.3210 0.5000 0.1623 [1 per cell]
Co2 0.3294 0.0000 0.6652 [1 per cell]
Co3 0.6922 0.0000 0.3322 [1 per cell]

***

Entry 5:
MnCo | GGA-PBE | relaxed

Formation energy, kcal/mol of atoms: 1.92

Lattice parameters (Å, degrees): 8.1439 2.4370 4.3004 90.00 99.57 90.00
Space group C2/m (No. 12)
One atom of each set of equivalent atoms:
Mn1 0.1240 0.0000 0.3661 [4 per cell]
Co1 0.1236 0.5000 0.8683 [4 per cell]

***

Entry 6:
PmAl6Cu12 | GGA-PBE | relaxed

Formation energy, kcal/mol of atoms: -2.37

Lattice parameters (Å, degrees): 10.7736 10.7736 8.4864 90.00 90.00 120.00
Space group R-3m (No. 166, hexagonal axes)
One atom of each set of equivalent atoms:
Pm1 0.0000 0.0000 0.0000 [3 per cell]
Al1 0.0538 0.5269 0.2446 [18 per cell]
Cu1 0.0000 0.3884 0.5000 [18 per cell]
Cu2 0.0854 0.1709 0.2953 [18 per cell]

***

Entry 7:
ZrCd2Cu2 | GGA-PBE | relaxed

Formation energy, kcal/mol of atoms: 2.19
Energy above the most stable polymorph in this dataset, eV/f.u.: 0.26

Lattice parameters (Å, degrees): 7.8898 7.8898 2.8579 90.00 90.00 90.00
Space group P4/mbm (No. 127)
One atom of each set of equivalent atoms:
Zr1 0.0000 0.0000 0.0000 [2 per cell]
Cd1 0.1282 0.3718 0.0000 [4 per cell]
Cu1 0.1719 0.6719 0.5000 [4 per cell]

***

Entry 8:
KCrS2 | GGA-PBE | relaxed

ΔE_f (raw), eV per atom: -0.105

Lattice parameters (Å, degrees): 6.7660 6.7660 6.7660 90.00 90.00 90.00
Space group Fm-3m (No. 225)
One atom of each set of equivalent atoms:
K1 0.0000 0.0000 0.0000 [4 per cell]
Cr1 0.0000 0.0000 0.5000 [4 per cell]
S1 0.2500 0.2500 0.2500 [8 per cell]

***

Entry 9:
Pu2UGe | GGA-PBE | relaxed

Formation energy, kcal/mol of atoms: 2.51
Energy above the most stable polymorph in this dataset, eV/f.u.: 0.95

Lattice parameters (Å, degrees): 3.9068 3.9068 18.7288 90.00 90.00 120.00
Space group R-3m (No. 166, hexagonal axes)
One atom of each set of equivalent atoms:
Pu1 0.0000 0.0000 0.2397 [6 per cell]
U1 0.0000 0.0000 0.5000 [3 per cell]
Ge1 0.0000 0.0000 0.0000 [3 per cell]

***

Entry 10:
PmCd12Au6 | GGA-PBE | relaxed

Formation energy, kcal/mol of atoms: -3.58

Lattice parameters (Å, degrees): 12.6421 12.6421 9.3555 90.00 90.00 120.00
Space group R-3m (No. 166, hexagonal axes)
One atom of each set of equivalent atoms:
Pm1 0.0000 0.0000 0.0000 [3 per cell]
Cd1 0.0000 0.3867 0.5000 [18 per cell]
Cd2 0.0824 0.1647 0.3031 [18 per cell]
Au1 0.0514 0.5257 0.2405 [18 per cell]

***

Entry 11:
K4ScTl3O8 | GGA-PBE | relaxed

ΔE_f (raw), eV per atom: -1.442

Lattice parameters (Å, degrees): 6.8799 6.8799 18.5859 90.00 90.00 120.00
Space group R-3m (No. 166, hexagonal axes)
One atom of each set of equivalent atoms:
K1 0.0000 0.0000 0.0000 [3 per cell]
K2 0.0000 0.5000 0.0000 [9 per cell]
Sc1 0.0000 0.0000 0.5000 [3 per cell]
Tl1 0.0000 0.5000 0.5000 [9 per cell]
O1 0.0000 0.0000 0.2315 [6 per cell]
O2 0.0202 0.5101 0.2304 [18 per cell]

***

Entry 12:
LaTaOs2 | GGA-PBE | relaxed

Formation energy, kcal/mol of atoms: 5.44

Lattice parameters (Å, degrees): 3.2022 4.6140 5.5174 90.00 104.15 90.00
Space group Pm (No. 6)
One atom of each set of equivalent atoms:
La1 0.0000 0.0000 0.0000 [1 per cell]
Ta1 0.2486 0.5000 0.5466 [1 per cell]
Os1 0.5737 0.5000 0.1624 [1 per cell]
Os2 0.7047 0.0000 0.4873 [1 per cell]

***

Entry 13:
NiHg2 | GGA-PBE | relaxed

Formation energy, kcal/mol of atoms: 6.08

Lattice parameters (Å, degrees): 7.2347 7.2347 3.7357 90.00 90.00 120.00
Space group P-62m (No. 189)
One atom of each set of equivalent atoms:
Ni1 0.0000 0.0000 0.0000 [1 per cell]
Ni2 0.3333 0.6667 0.5000 [2 per cell]
Hg1 0.0000 0.2654 0.5000 [3 per cell]
Hg2 0.0000 0.5948 0.0000 [3 per cell]

***

Entry 14:
Zr2TaW | GGA-PBE | relaxed

Formation energy, kcal/mol of atoms: 2.55
Energy above the most stable polymorph in this dataset, eV/f.u.: 0.20

Lattice parameters (Å, degrees): 3.2970 4.9141 9.7894 90.00 90.00 90.00
Space group Cmm2 (No. 35)
One atom of each set of equivalent atoms:
Zr1 0.0000 0.0000 0.0000 [2 per cell]
Zr2 0.0000 0.5000 0.2906 [2 per cell]
Ta1 0.0000 0.5000 0.7435 [2 per cell]
W1 0.0000 0.0000 0.5277 [2 per cell]

***

Entry 15:
NaEuMgCd | GGA-PBE | relaxed

Formation energy, kcal/mol of atoms: -1.97

Lattice parameters (Å, degrees): 7.6468 7.6468 7.6468 90.00 90.00 90.00
Space group F-43m (No. 216)
One atom of each set of equivalent atoms:
Na1 0.0000 0.0000 0.0000 [4 per cell]
Eu1 0.2500 0.2500 0.7500 [4 per cell]
Mg1 0.2500 0.2500 0.2500 [4 per cell]
Cd1 0.0000 0.0000 0.5000 [4 per cell]

***

Entry 16:
DyGaRu2 | GGA-PBE | relaxed

Formation energy, kcal/mol of atoms: -6.30

Lattice parameters (Å, degrees): 3.2604 3.2604 6.3467 90.00 90.00 90.00
Space group P4/mmm (No. 123)
One atom of each set of equivalent atoms:
Dy1 0.0000 0.0000 0.0000 [1 per cell]
Ga1 0.0000 0.0000 0.5000 [1 per cell]
Ru1 0.5000 0.5000 0.2858 [2 per cell]

***

Entry 17:
La5Y3 | GGA-PBE | relaxed

Formation energy, kcal/mol of atoms: 0.61
Energy above the most stable polymorph in this dataset, eV/f.u.: 0.09

Lattice parameters (Å, degrees): 3.7141 3.7141 20.4356 90.00 90.00 90.00
Space group P4/mmm (No. 123)
One atom of each set of equivalent atoms:
La1 0.0000 0.0000 0.0000 [1 per cell]
La2 0.0000 0.0000 0.2491 [2 per cell]
La3 0.5000 0.5000 0.3752 [2 per cell]
Y1 0.0000 0.0000 0.5000 [1 per cell]
Y2 0.5000 0.5000 0.1228 [2 per cell]

***

Entry 18:
Cs2AcZn2Se4 | GGA-PBE | relaxed

ΔE_f (raw), eV per atom: -1.143

Lattice parameters (Å, degrees): 16.3646 4.6620 8.4969 90.00 109.54 90.00
Space group C2/m (No. 12)
One atom of each set of equivalent atoms:
Cs1 0.1355 0.0000 0.0654 [4 per cell]
Ac1 0.0000 0.0000 0.5000 [2 per cell]
Zn1 0.1769 0.5000 0.5011 [4 per cell]
Se1 0.0263 0.5000 0.2735 [4 per cell]
Se2 0.2035 0.0000 0.6482 [4 per cell]

***

Entry 19:
CeNdGeI | GGA-PBE | relaxed

ΔE_f (raw), eV per atom: -0.923

Lattice parameters (Å, degrees): 4.2988 4.2988 23.4194 90.00 90.00 120.00
Space group R3m (No. 160, hexagonal axes)
One atom of each set of equivalent atoms:
Ce1 0.0000 0.0000 0.0000 [3 per cell]
Nd1 0.0000 0.0000 0.1988 [3 per cell]
Ge1 0.0000 0.0000 0.6016 [3 per cell]
I1 0.0000 0.0000 0.4312 [3 per cell]

***

Entry 20:
PrReO5 | GGA-PBE | relaxed

ΔE_f (raw), eV per atom: -2.204

Lattice parameters (Å, degrees): 9.2373 6.5979 7.6764 90.00 114.50 90.00
Space group C2/c (No. 15)
One atom of each set of equivalent atoms:
Pr1 0.0000 0.0539 0.2500 [4 per cell]
Re1 0.0000 0.5000 0.0000 [4 per cell]
O1 0.0000 0.4363 0.2500 [4 per cell]
O2 0.0096 0.2174 0.9651 [8 per cell]
O3 0.2179 0.4859 0.6109 [8 per cell]

***

Entry 21:
Cd2PAu | GGA-PBE | relaxed

Formation energy, kcal/mol of atoms: 2.88

Lattice parameters (Å, degrees): 3.8823 3.8823 5.6377 90.00 90.00 90.00
Space group P4mm (No. 99)
One atom of each set of equivalent atoms:
Cd1 0.0000 0.0000 0.0000 [1 per cell]
Cd2 0.5000 0.5000 0.3768 [1 per cell]
P1 0.0000 0.0000 0.4877 [1 per cell]
Au1 0.5000 0.5000 0.8759 [1 per cell]

***

Entry 22:
TcIrPd | GGA-PBE | relaxed

Formation energy, kcal/mol of atoms: -0.38
Energy above the most stable polymorph in this dataset, eV/f.u.: 0.15

Lattice parameters (Å, degrees): 8.6915 3.8739 5.5083 90.00 107.72 90.00
Space group Cm (No. 8)
One atom of each set of equivalent atoms:
Tc1 0.0000 0.0000 0.0000 [2 per cell]
Tc2 0.1637 0.5000 0.8350 [2 per cell]
Ir1 0.0164 0.0000 0.5251 [2 per cell]
Ir2 0.3415 0.0000 0.6906 [2 per cell]
Pd1 0.1685 0.5000 0.3407 [2 per cell]
Pd2 0.3338 0.0000 0.1759 [2 per cell]

***

Entry 23:
ReOs2Pt | GGA-PBE | relaxed

Formation energy, kcal/mol of atoms: 1.38
Energy above the most stable polymorph in this dataset, eV/f.u.: 0.00

Lattice parameters (Å, degrees): 9.1533 2.7345 4.7909 90.00 99.82 90.00
Space group C2/m (No. 12)
One atom of each set of equivalent atoms:
Re1 0.0000 0.0000 0.0000 [2 per cell]
Os1 0.2431 0.5000 0.2365 [4 per cell]
Pt1 0.0000 0.5000 0.5000 [2 per cell]

***

Entry 24:
TbPr3Bi4 | GGA-PBE | relaxed

Formation energy, kcal/mol of atoms: -21.57

Lattice parameters (Å, degrees): 9.2074 13.0247 4.6088 90.00 90.00 90.00
Space group Cmmm (No. 65)
One atom of each set of equivalent atoms:
Tb1 0.0000 0.0000 0.0000 [2 per cell]
Pr1 0.0000 0.5000 0.0000 [2 per cell]
Pr2 0.2500 0.2500 0.5000 [4 per cell]
Bi1 0.0000 0.2468 0.0000 [4 per cell]
Bi2 0.2436 0.0000 0.5000 [4 per cell]

***

| no. | total DFT energy (no corrections) (eV per cell) |
| --- | --- |
| 1 | -41.27 |
| 2 | -122.05 |
| 3 | -35.04 |
| 4 | -46.72 |
| 5 | -64.43 |
| 6 | -234.94 |
| 7 | -36.19 |
| 8 | -77.58 |
| 9 | -132.40 |
| 10 | -115.04 |
| 11 | -241.68 |
| 12 | -38.30 |
| 13 | -16.78 |
| 14 | -82.92 |
| 15 | -57.78 |
| 16 | -27.27 |
| 17 | -43.82 |
| 18 | -65.18 |
| 19 | -61.68 |
| 20 | -229.79 |
| 21 | -10.02 |
| 22 | -97.87 |
| 23 | -81.42 |
| 24 | -83.95 |